No. 1
First-principles (GGA-PBE) data for an optimized crystal structure of TaCr2Fe, as listed in Alexandria via LeMat-Bulk.

Unit cell a=2.6152 b=4.0705 c=5.0317 alpha=90.00 beta=100.30 gamma=90.00
Space group Pm (No. 6)
Symmetry-distinct sites (fractional):
Ta1 0.0000 0.0000 0.0000 (multiplicity 1)
Cr1 0.5146 0.0000 0.4926 (multiplicity 1)
Cr2 0.7381 0.5000 0.2814 (multiplicity 1)
Fe1 0.2610 0.5000 0.7405 (multiplicity 1)

Output
Formation enthalpy at 0 K: 0.127 eV/atom
E above lowest polymorph: 87.4 meV/atom
Spin magnetization: 1.5 μB/f.u.
DOS at the Fermi energy: 3.6 states/eV/cell
Density: 10.74 g/cm³

---

No. 2
First-principles (GGA-PBE) data for an optimized crystal structure of TaCr2Fe, as listed in Alexandria via LeMat-Bulk.

Unit cell a=2.9731 b=2.9731 c=5.9215 alpha=90.00 beta=90.00 gamma=90.00
Space group P4mm (No. 99)
Symmetry-distinct sites (fractional):
Ta1 0.0000 0.0000 0.0000 (multiplicity 1)
Cr1 0.0000 0.0000 0.4992 (multiplicity 1)
Cr2 0.5000 0.5000 0.2794 (multiplicity 1)
Fe1 0.5000 0.5000 0.7455 (multiplicity 1)

Output
Formation enthalpy at 0 K: 0.039 eV/atom
E above lowest polymorph: 0.0 meV/atom
Spin magnetization: 1.1 μB/f.u.
DOS at the Fermi energy: 3.4 states/eV/cell
Density: 10.81 g/cm³

---

No. 3
First-principles (GGA-PBE) data for an optimized crystal structure of Ta2CrFe, as listed in Alexandria via LeMat-Bulk.

Unit cell a=2.9866 b=2.9866 c=23.7525 alpha=90.00 beta=90.00 gamma=120.00
Space group R-3m (No. 166, hexagonal axes)
Symmetry-distinct sites (fractional):
Ta1 0.0000 0.0000 0.2502 (multiplicity 6)
Cr1 0.0000 0.0000 0.0000 (multiplicity 3)
Fe1 0.0000 0.0000 0.5000 (multiplicity 3)

Output
Formation enthalpy at 0 K: 0.284 eV/atom
E above lowest polymorph: 417.4 meV/atom
Spin magnetization: 1.3 μB/f.u.
DOS at the Fermi energy: 11.1 states/eV/cell
Density: 12.75 g/cm³

---

No. 4
First-principles (GGA-PBE) data for an optimized crystal structure of Ta2CrFe, as listed in Alexandria via LeMat-Bulk.

Unit cell a=6.1402 b=6.1402 c=6.1402 alpha=90.00 beta=90.00 gamma=90.00
Space group Fm-3m (No. 225)
Symmetry-distinct sites (fractional):
Ta1 0.2500 0.2500 0.2500 (multiplicity 8)
Cr1 0.0000 0.0000 0.0000 (multiplicity 4)
Fe1 0.0000 0.0000 0.5000 (multiplicity 4)

Output
Formation enthalpy at 0 K: -0.134 eV/atom
E above lowest polymorph: 0.0 meV/atom
Spin magnetization: 0.0 μB/f.u.
DOS at the Fermi energy: 7.5 states/eV/cell
Density: 13.48 g/cm³

---

| no. | calculated volume (Å³/atom) |
| --- | --- |
| 1 | 13.18 |
| 2 | 13.09 |
| 3 | 15.29 |
| 4 | 14.47 |